(1)
## Ba3NbPt (PBE)

Data for crystalline Ba3NbPt at its relaxed geometry.

Properties
Mass density: 5.039 g/cm³
Energy above the lowest structure with this stoichiometry: 0.000 eV/atom
Calculated total energy: -3.970 eV per atom

a b c (Å): 6.1330 6.1330 6.1330
angles (deg): 90.00 90.00 90.00
Closest atoms and distances in Å follow each position.
Fractional coordinates of all 5 atoms:
Ba 0.0000 0.0000 0.5000  2 Pt 3.07
Ba 0.0000 0.5000 0.0000  2 Pt 3.07
Ba 0.5000 0.0000 0.0000  2 Pt 3.07
Nb 0.5000 0.5000 0.5000  12 Ba 4.34
Pt 0.0000 0.0000 0.0000  6 Ba 3.07



(2)
## Hf6ZrCd (PBE)

Data for crystalline Hf6ZrCd at its relaxed geometry.

Properties
Mass density: 11.833 g/cm³
Calculated total energy: -8.623 eV per atom

a b c (Å): 5.0971 6.3625 11.0307
angles (deg): 90.00 90.00 90.00
Closest atoms and distances in Å follow each position.
Fractional coordinates of all 16 atoms:
Hf 0.0000 0.0000 0.0000  10 Hf 3.13-3.24, 2 Cd 3.18
Hf 0.0000 0.2444 0.7538  8 Hf 3.11-3.25, 2 Zr 3.15, 2 Cd 3.17-3.19
Hf 0.0000 0.2556 0.2538  8 Hf 3.11-3.25, 2 Zr 3.15, 2 Cd 3.17-3.19
Hf 0.0000 0.5000 0.5000  10 Hf 3.13-3.24, 2 Cd 3.18
Hf 0.0000 0.7444 0.2538  8 Hf 3.11-3.25, 2 Zr 3.15, 2 Cd 3.17-3.19
Hf 0.0000 0.7556 0.7538  8 Hf 3.11-3.25, 2 Zr 3.15, 2 Cd 3.17-3.19
Hf 0.5000 0.0000 0.8358  10 Hf 3.12-3.18, 2 Zr 3.18
Hf 0.5000 0.2489 0.0861  2 Cd 3.14, 8 Hf 3.15-3.20, 2 Zr 3.17-3.20
Hf 0.5000 0.2511 0.5861  2 Cd 3.14, 8 Hf 3.15-3.20, 2 Zr 3.17-3.20
Hf 0.5000 0.5000 0.3358  10 Hf 3.12-3.18, 2 Zr 3.18
Hf 0.5000 0.7489 0.5861  2 Cd 3.14, 8 Hf 3.15-3.20, 2 Zr 3.17-3.20
Hf 0.5000 0.7511 0.0861  2 Cd 3.14, 8 Hf 3.15-3.20, 2 Zr 3.17-3.20
Zr 0.5000 0.0000 0.3350  2 Cd 3.15, 10 Hf 3.15-3.20
Zr 0.5000 0.5000 0.8350  2 Cd 3.15, 10 Hf 3.15-3.20
Cd 0.0000 0.0000 0.5031  10 Hf 3.14-3.19, 2 Zr 3.15
Cd 0.0000 0.5000 0.0031  10 Hf 3.14-3.19, 2 Zr 3.15



(3)
## Sc4GaOs3 (PBE)

Data for crystalline Sc4GaOs3 at its relaxed geometry.

Properties
Mass density: 9.936 g/cm³
Calculated total energy: -8.217 eV per atom

a b c (Å): 4.5819 4.5819 6.5298
angles (deg): 90.00 90.00 90.00
Closest atoms and distances in Å follow each position.
Fractional coordinates of all 8 atoms:
Sc 0.0000 0.5000 0.2402  6 Os 2.78-2.85, 2 Ga 2.85
Sc 0.0000 0.5000 0.7598  6 Os 2.78-2.85, 2 Ga 2.85
Sc 0.5000 0.0000 0.2402  6 Os 2.78-2.85, 2 Ga 2.85
Sc 0.5000 0.0000 0.7598  6 Os 2.78-2.85, 2 Ga 2.85
Ga 0.0000 0.0000 0.5000  8 Sc 2.85
Os 0.0000 0.0000 0.0000  8 Sc 2.78
Os 0.5000 0.5000 0.0000  8 Sc 2.78
Os 0.5000 0.5000 0.5000  8 Sc 2.85



(4)
## AcDy3Er12 (PBE)

Data for crystalline AcDy3Er12 at its relaxed geometry.

Properties
Mass density: 8.958 g/cm³
Calculated total energy: -4.506 eV per atom

a b c (Å): 5.0116 5.0116 20.0877
angles (deg): 90.00 90.00 90.00
Closest atoms and distances in Å follow each position.
Fractional coordinates of all 16 atoms:
Ac 0.0000 0.0000 0.0000  12 Er 3.54-3.64
Dy 0.0000 0.0000 0.2530  12 Er 3.50-3.54
Dy 0.0000 0.0000 0.5000  12 Er 3.52-3.54
Dy 0.0000 0.0000 0.7470  12 Er 3.50-3.54
Er 0.0000 0.5000 0.1313  2 Dy 3.50, 8 Er 3.52-3.64, 2 Ac 3.64
Er 0.0000 0.5000 0.3769  8 Er 3.51-3.54, 4 Dy 3.52-3.53
Er 0.0000 0.5000 0.6231  8 Er 3.51-3.54, 4 Dy 3.52-3.53
Er 0.0000 0.5000 0.8687  2 Dy 3.50, 8 Er 3.52-3.64, 2 Ac 3.64
Er 0.5000 0.0000 0.1313  2 Dy 3.50, 8 Er 3.52-3.64, 2 Ac 3.64
Er 0.5000 0.0000 0.3769  8 Er 3.51-3.54, 4 Dy 3.52-3.53
Er 0.5000 0.0000 0.6231  8 Er 3.51-3.54, 4 Dy 3.52-3.53
Er 0.5000 0.0000 0.8687  2 Dy 3.50, 8 Er 3.52-3.64, 2 Ac 3.64
Er 0.5000 0.5000 0.0000  4 Ac 3.54, 8 Er 3.64
Er 0.5000 0.5000 0.2543  8 Er 3.51-3.52, 4 Dy 3.54
Er 0.5000 0.5000 0.5000  8 Er 3.52, 4 Dy 3.54
Er 0.5000 0.5000 0.7457  8 Er 3.51-3.52, 4 Dy 3.54



(5)
## LiTbInCu (PBE)

Data for crystalline LiTbInCu at its relaxed geometry.

Properties
Mass density: 7.583 g/cm³
Calculated total energy: -3.710 eV per atom

a b c (Å): 6.7056 6.7056 6.7056
angles (deg): 90.00 90.00 90.00
Closest atoms and distances in Å follow each position.
Fractional coordinates of all 16 atoms:
Li 0.0000 0.0000 0.0000  4 In 2.90, 4 Tb 2.90
Li 0.0000 0.5000 0.5000  4 In 2.90, 4 Tb 2.90
Li 0.5000 0.0000 0.5000  4 In 2.90, 4 Tb 2.90
Li 0.5000 0.5000 0.0000  4 In 2.90, 4 Tb 2.90
Tb 0.2500 0.2500 0.7500  4 Li 2.90, 4 Cu 2.90
Tb 0.2500 0.7500 0.2500  4 Li 2.90, 4 Cu 2.90
Tb 0.7500 0.2500 0.2500  4 Li 2.90, 4 Cu 2.90
Tb 0.7500 0.7500 0.7500  4 Li 2.90, 4 Cu 2.90
In 0.2500 0.2500 0.2500  4 Cu 2.90, 4 Li 2.90
In 0.2500 0.7500 0.7500  4 Cu 2.90, 4 Li 2.90
In 0.7500 0.2500 0.7500  4 Cu 2.90, 4 Li 2.90
In 0.7500 0.7500 0.2500  4 Cu 2.90, 4 Li 2.90
Cu 0.0000 0.0000 0.5000  4 Tb 2.90, 4 In 2.90
Cu 0.0000 0.5000 0.0000  4 Tb 2.90, 4 In 2.90
Cu 0.5000 0.0000 0.0000  4 Tb 2.90, 4 In 2.90
Cu 0.5000 0.5000 0.5000  4 Tb 2.90, 4 In 2.90



(6)
## Mg3Zn7Au2 (PBE)

Data for crystalline Mg3Zn7Au2 at its relaxed geometry.

Properties
Mass density: 7.476 g/cm³
Energy above the lowest structure with this stoichiometry: 0.000 eV/atom
Calculated total energy: -1.873 eV per atom

a b c (Å): 9.2898 9.2898 9.2898
angles (deg): 32.47 32.47 32.47
Closest atoms and distances in Å follow each position.
Fractional coordinates of all 12 atoms:
Mg 0.0000 0.0000 0.0000  6 Au 3.00
Mg 0.1447 0.1447 0.1447  12 Zn 3.01-3.06, 3 Mg 3.21
Mg 0.8553 0.8553 0.8553  12 Zn 3.01-3.06, 3 Mg 3.21
Zn 0.0825 0.5891 0.5891  5 Zn 2.56-2.63, 2 Au 2.73-2.75
Zn 0.4109 0.4109 0.9175  5 Zn 2.56-2.63, 2 Au 2.73-2.75
Zn 0.4109 0.9175 0.4109  5 Zn 2.56-2.63, 2 Au 2.73-2.75
Zn 0.5000 0.5000 0.5000  6 Zn 2.60
Zn 0.5891 0.0825 0.5891  5 Zn 2.56-2.63, 2 Au 2.73-2.75
Zn 0.5891 0.5891 0.0825  5 Zn 2.56-2.63, 2 Au 2.73-2.75
Zn 0.9175 0.4109 0.4109  5 Zn 2.56-2.63, 2 Au 2.73-2.75
Au 0.3341 0.3341 0.3341  6 Zn 2.73-2.75, 3 Mg 3.00, 3 Au 3.00
Au 0.6659 0.6659 0.6659  6 Zn 2.73-2.75, 3 Mg 3.00, 3 Au 3.00



(7)
## K3Hg4Pd (PBE)

Data for crystalline K3Hg4Pd at its relaxed geometry.

Properties
Mass density: 6.288 g/cm³
Calculated total energy: -1.410 eV per atom

a b c (Å): 6.2231 8.4954 10.2500
angles (deg): 90.00 90.00 90.00
Closest atoms and distances in Å follow each position.
Fractional coordinates of all 16 atoms:
K 0.0000 0.0000 0.0000  8 Hg 3.78-4.11, 4 K 4.10
K 0.0000 0.2169 0.6135  7 Hg 3.48-3.75, 2 Pd 3.66, 1 K 3.68
K 0.0000 0.7831 0.6135  7 Hg 3.48-3.75, 2 Pd 3.66, 1 K 3.68
K 0.5000 0.2831 0.1135  7 Hg 3.48-3.75, 2 Pd 3.66, 1 K 3.68
K 0.5000 0.5000 0.5000  8 Hg 3.78-4.11, 4 K 4.10
K 0.5000 0.7169 0.1135  7 Hg 3.48-3.75, 2 Pd 3.66, 1 K 3.68
Hg 0.0000 0.3194 0.2847  1 Pd 2.76, 1 Hg 3.07
Hg 0.0000 0.6806 0.2847  1 Pd 2.76, 1 Hg 3.07
Hg 0.2464 0.5000 0.8347  1 Pd 2.78, 1 Hg 3.07
Hg 0.2536 0.0000 0.3347  1 Pd 2.78, 1 Hg 3.07
Hg 0.5000 0.1806 0.7847  1 Pd 2.76, 1 Hg 3.07
Hg 0.5000 0.8194 0.7847  1 Pd 2.76, 1 Hg 3.07
Hg 0.7464 0.0000 0.3347  1 Pd 2.78, 1 Hg 3.07
Hg 0.7536 0.5000 0.8347  1 Pd 2.78, 1 Hg 3.07
Pd 0.0000 0.5000 0.0606  4 Hg 2.76-2.78
Pd 0.5000 0.0000 0.5606  4 Hg 2.76-2.78



(8)
## ZnHg3P (PBE)

Data for crystalline ZnHg3P at its relaxed geometry.

Properties
Mass density: 8.270 g/cm³
Energy above the lowest structure with this stoichiometry: 0.276 eV/atom
Calculated total energy: -0.884 eV per atom

a b c (Å): 5.1948 5.1948 5.1948
angles (deg): 90.00 90.00 90.00
Closest atoms and distances in Å follow each position.
Fractional coordinates of all 5 atoms:
Zn 0.0000 0.0000 0.0000  6 Hg 2.60
Hg 0.0000 0.0000 0.5000  2 Zn 2.60
Hg 0.0000 0.5000 0.0000  2 Zn 2.60
Hg 0.5000 0.0000 0.0000  2 Zn 2.60
P 0.5000 0.5000 0.5000  12 Hg 3.67